V2OsPt | PBE | optimized geometry

Geometry as extended XYZ:
```
8
Lattice="4.435 -0.367 0.095 -0.221 4.803 2.263 -0.681 0.012 5.271" Properties=species:S:1:pos:R:3 pbc="T T T"
V 1.057 2.972 2.316
V 2.697 3.786 3.864
V 2.476 1.476 5.313
V 0.835 0.662 3.765
Os 3.132 1.440 2.773
Os 0.400 3.009 4.855
Pt 2.732 3.830 6.522
Pt 0.800 0.618 1.107
```

## Properties
energy relative to the elements = -0.38 eV per atom